Pr6MnGe2S14 | meta-GGA SCAN | PBEsol geometry

The structure belongs to space group P3 (No. 143); the cell edges are 10.0752, 10.0752 and 5.7235 Å and the angles 90.00°, 90.00° and 120.00°. The distinct sites, in fractional coordinates, are Pr at (0.0226, 0.5598, 0.0000), Pr at (0.3119, 0.1087, 0.5007), Mn at (0.6667, 0.3333, 0.7713), Ge at (0.0000, 0.0000, 0.9176), Ge at (0.3333, 0.6667, 0.4242), S at (0.0000, 0.0000, 0.2980), S at (0.0868, 0.8545, 0.7673), S at (0.1840, 0.4342, 0.2735), S at (0.3333, 0.6667, 0.8046), S at (0.4311, 0.1820, 0.9889) and S at (0.5200, 0.4205, 0.5407).

The size of the total moment comes out at 1.000 μB per formula unit. Its crystal system is trigonal. The energy comes out at -21.35 eV/atom.


CuMoRh2 | meta-GGA SCAN | PBEsol geometry

The structure belongs to space group P4/mmm (No. 123); the cell edges are 2.7487, 2.7487 and 7.1212 Å and the angles 90.00°, 90.00° and 90.00°. The distinct sites, in fractional coordinates, are Cu at (0.0000, 0.0000, 0.0000), Mo at (0.0000, 0.0000, 0.5000) and Rh at (0.5000, 0.5000, 0.2447).

The size of the total moment comes out at 0.000 μB per formula unit. Its crystal system is tetragonal. For the formation energy, the calculation gives -93 meV per atom.


MgScSb2 | meta-GGA SCAN | PBEsol geometry

The structure belongs to space group Pm (No. 6); the cell edges are 3.3175, 5.3330 and 5.3261 Å and the angles 90.00°, 90.06° and 90.00°. The distinct sites, in fractional coordinates, are Mg at (0.0000, 0.0000, 0.0000), Sc at (0.0017, 0.5000, 0.5015), Sb at (0.3734, 0.0000, 0.5002) and Sb at (0.6281, 0.5000, 0.0011).

The size of the total moment comes out at 0.000 μB per formula unit. Its crystal system is monoclinic. The energy comes out at -23.92 eV/atom.


> The highest size of the total moment belongs to which entry?

Pr6MnGe2S14